1.
VASP calculation (PBE) on a relaxed TmSc3Ru crystal.

a = 4.8595 Å, b = 6.3414 Å, c = 7.6498 Å
α = 90.00°, β = 90.00°, γ = 90.00°
With the nearest neighbours (Å) after each atom.
Positions (direct):
Tm: 0.2500 0.2500 0.0522  1 Ru 2.57
Tm: 0.7500 0.7500 0.9478  1 Ru 2.57
Sc: 0.2500 0.5141 0.6488  3 Ru 2.61-2.87
Sc: 0.2500 0.7500 0.2598  6 Sc 3.03-3.33, 2 Ru 3.32
Sc: 0.2500 0.9859 0.6488  3 Ru 2.61-2.87
Sc: 0.7500 0.0141 0.3512  3 Ru 2.61-2.87
Sc: 0.7500 0.2500 0.7402  6 Sc 3.03-3.33, 2 Ru 3.32
Sc: 0.7500 0.4859 0.3512  3 Ru 2.61-2.87
Ru: 0.2500 0.2500 0.3876  1 Tm 2.57, 6 Sc 2.61-2.87
Ru: 0.7500 0.7500 0.6124  1 Tm 2.57, 6 Sc 2.61-2.87

Calculated values
* symmetry: Pmmn, No. 59
* relative energy among the computed polymorphs: 0.156 eV/f.u.
* energy of formation: -0.173 eV per atom

=====

2.
VASP calculation (PBE) on a relaxed ScFe2HW crystal.

a = 4.6017 Å, b = 4.6017 Å, c = 3.3875 Å
α = 90.00°, β = 90.00°, γ = 90.00°
With the nearest neighbours (Å) after each atom.
Positions (direct):
Sc: 0.0000 0.0000 0.0000  8 Fe 2.86
Fe: 0.0000 0.5000 0.5000  2 W 2.30
Fe: 0.5000 0.0000 0.5000  2 W 2.30
H: 0.5000 0.5000 0.0000  2 W 1.69
W: 0.5000 0.5000 0.5000  2 H 1.69

Calculated values
* symmetry: P4/mmm, No. 123

=====

3.
VASP calculation (PBE) on a relaxed CdMoPb2 crystal.

a = 3.0987 Å, b = 3.0987 Å, c = 10.6899 Å
α = 90.00°, β = 90.00°, γ = 106.31°
With the nearest neighbours (Å) after each atom.
Positions (direct):
Cd: 0.0000 0.0000 0.0000  2 Mo 2.86, 4 Cd 3.10
Mo: 0.5000 0.5000 0.2032  2 Cd 2.86, 2 Pb 2.96, 4 Mo 3.10
Pb: 0.0000 0.0000 0.4189  2 Mo 2.96, 4 Pb 3.10
Pb: 0.5000 0.5000 0.7501  4 Pb 3.10, 2 Cd 3.25

Calculated values
* symmetry: Cmm2, No. 35
* energy of formation: 0.485 eV per atom

=====

4.
VASP calculation (PBE) on a relaxed Tb8Dy3Tm crystal.

a = 9.3804 Å, b = 9.3804 Å, c = 9.3804 Å
α = 131.80°, β = 131.80°, γ = 70.54°
With the nearest neighbours (Å) after each atom.
Positions (direct):
Tb: 0.1257 0.1257 0.5009  1 Tm 3.31, 3 Dy 3.32
Tb: 0.1257 0.6249 0.0000  1 Tm 3.31, 3 Dy 3.32
Tb: 0.3751 0.3751 0.5009  1 Tm 3.31, 3 Dy 3.32
Tb: 0.3751 0.8743 0.0000  1 Tm 3.31, 3 Dy 3.32
Tb: 0.6249 0.1257 0.0000  1 Tm 3.31, 3 Dy 3.32
Tb: 0.6249 0.6249 0.4991  1 Tm 3.31, 3 Dy 3.32
Tb: 0.8743 0.3751 0.0000  1 Tm 3.31, 3 Dy 3.32
Tb: 0.8743 0.8743 0.4991  1 Tm 3.31, 3 Dy 3.32
Dy: 0.0000 0.0000 0.0000  8 Tb 3.32
Dy: 0.2500 0.7500 0.5000  8 Tb 3.32
Dy: 0.7500 0.2500 0.5000  8 Tb 3.32
Tm: 0.5000 0.5000 0.0000  8 Tb 3.31

Calculated values
* symmetry: I4/mmm, No. 139
* energy of formation: 0.724 eV per atom

=====

DFT total energy, respectively: -33.61; -36.12; -17.22; -46.64 eV per formula unit.